[1]
Material: Zr2MnRh
Method: DFT, SCAN
State: PBEsol geometry

The structure in CIF format:
```
data_Zr2MnRh
_chemical_formula_sum 'Zr8 Mn4 Rh4'
_cell_length_a 6.3938
_cell_length_b 6.3938
_cell_length_c 6.3938
_cell_angle_alpha 90.00
_cell_angle_beta 90.00
_cell_angle_gamma 90.00
_space_group_name_H-M_alt 'F -4 3 m'
_space_group_IT_number 216
_space_group_name_Hall 'F -4 2 3'
loop_
_atom_site_label
_atom_site_fract_x
_atom_site_fract_y
_atom_site_fract_z
Zr1 0.0000 0.0000 0.0000
Zr2 0.2500 0.2500 0.2500
Mn1 0.2500 0.2500 0.7500
Rh1 0.0000 0.0000 0.5000
```

Calculated values
Energy relative to the elements = -1.5 eV/f.u.
Total magnetization = 3.0 μB per formula unit

[2]
Material: Zr2MnRh
Method: DFT, SCAN
State: PBEsol geometry

The structure in CIF format:
```
data_Zr2MnRh
_chemical_formula_sum 'Zr2 Mn1 Rh1'
_cell_length_a 4.4904
_cell_length_b 4.4904
_cell_length_c 3.2310
_cell_angle_alpha 90.00
_cell_angle_beta 90.00
_cell_angle_gamma 90.00
_space_group_name_H-M_alt 'P 4/m m m'
_space_group_IT_number 123
_space_group_name_Hall '-P 4 2'
loop_
_atom_site_label
_atom_site_fract_x
_atom_site_fract_y
_atom_site_fract_z
Zr1 0.0000 0.5000 0.0000
Mn1 0.0000 0.0000 0.5000
Rh1 0.5000 0.5000 0.5000
```

Calculated values
Energy relative to the elements = -2.2 eV/f.u.
Total magnetization = 0.0 μB per formula unit